Sr3ReO: optimized geometry, PBE.

Geometry as POSCAR:
```
Sr3ReO
1.0
5.069 0.000 0.000
0.000 5.069 0.000
0.000 0.000 5.069
Re O Sr
1 1 3
Cartesian
2.535 2.535 2.535 Re
0.000 0.000 0.000 O
0.000 2.535 0.000 Sr
0.000 0.000 2.535 Sr
2.535 0.000 0.000 Sr
```

Properties
Energy above the most stable polymorph in this dataset   0.000 eV per atom
Space-group type   No. 221
Crystal system   cubic
Density of states at the Fermi level   3.39 states/eV/f.u.
Total moment   0.45 μB per atom
V   26.1 Å³/atom


Sr2Re2O7: optimized geometry, PBE.

Geometry as POSCAR:
```
Sr2Re2O7
1.0
5.633 0.005 0.007
-0.605 6.223 -0.352
-0.605 -2.515 5.703
Sr Re O
2 2 7
Cartesian
2.211 0.248 3.793 Sr
2.211 3.465 1.564 Sr
4.730 0.934 1.348 Re
-0.308 2.778 4.010 Re
0.628 4.229 3.344 O
3.794 2.067 0.223 O
3.794 -0.517 2.014 O
0.628 1.645 5.134 O
0.000 0.000 0.000 O
3.829 2.095 3.024 O
0.593 1.617 2.334 O
```

Properties
Space-group type   No. 12
Crystal system   monoclinic
Total moment   0.00 μB per atom
V   17.7 Å³/atom


Sr2ReO: optimized geometry, PBE.

Geometry as POSCAR:
```
Sr2ReO
1.0
7.269 0.000 0.000
0.000 7.269 0.000
3.635 3.635 4.106
Re O Sr
2 2 4
Cartesian
0.000 0.000 0.000 Re
7.269 3.635 2.053 Re
3.635 3.635 0.000 O
3.635 7.269 2.053 O
4.773 1.817 1.027 Sr
2.497 5.452 1.027 Sr
5.452 6.131 3.080 Sr
9.087 8.407 3.080 Sr
```

Properties
Space-group type   No. 122
Crystal system   tetragonal
Density of states at the Fermi level   0.75 states/eV/f.u.
Total moment   0.75 μB per atom
V   27.1 Å³/atom


Sr6Re3O14: optimized geometry, PBE.

Geometry as POSCAR:
```
Sr6Re3O14
1.0
5.511 0.000 0.000
0.000 7.691 -4.440
0.000 0.000 8.881
Sr Re O
6 3 14
Cartesian
1.476 6.053 -2.820 Sr
1.476 7.106 2.212 Sr
1.476 2.222 0.608 Sr
4.394 4.225 2.535 Sr
4.394 3.383 6.832 Sr
4.394 0.083 3.954 Sr
4.498 0.000 0.000 Re
1.970 2.564 4.440 Re
2.371 5.127 0.000 Re
5.383 0.451 1.591 O
5.383 6.088 4.036 O
5.383 1.152 7.694 O
2.777 1.956 2.886 O
2.777 4.213 4.691 O
2.777 1.521 5.743 O
2.651 0.000 0.000 O
0.126 2.564 4.440 O
3.526 5.702 -1.508 O
3.526 6.146 1.251 O
3.526 3.534 0.256 O
1.247 4.571 1.523 O
1.247 4.086 -1.243 O
1.247 6.725 -0.280 O
```

Properties
Space-group type   No. 143
Crystal system   trigonal
Density of states at the Fermi level   12.18 states/eV/f.u.
Total moment   0.22 μB per atom
V   16.4 Å³/atom


SrReO3: optimized geometry, PBE.

Geometry as POSCAR:
```
SrReO3
1.0
4.372 0.000 0.000
0.000 4.372 0.000
0.000 0.000 4.372
Re O Sr
1 3 1
Cartesian
2.186 2.186 2.186 Re
0.000 2.186 0.000 O
0.000 0.000 2.186 O
2.186 0.000 0.000 O
0.000 0.000 0.000 Sr
```

Properties
Space-group type   No. 221
Crystal system   cubic
Density of states at the Fermi level   11.79 states/eV/f.u.
Total moment   0.84 μB per atom
V   16.7 Å³/atom


SrRe2O7: optimized geometry, PBE.

Geometry as POSCAR:
```
SrRe2O7
1.0
3.809 0.000 0.000
0.000 5.934 -0.004
0.000 -2.622 5.324
Sr Re O
1 2 7
Cartesian
0.000 0.000 0.000 Sr
1.904 3.289 1.643 Re
1.904 0.024 3.676 Re
0.000 3.315 1.627 O
0.000 -0.003 3.693 O
1.904 -0.628 1.752 O
1.904 3.940 3.568 O
1.904 1.849 0.209 O
1.904 1.464 5.110 O
1.904 1.656 2.660 O
```

Properties
Space-group type   No. 65
Crystal system   orthorhombic
Density of states at the Fermi level   1.62 states/eV/f.u.
Total moment   0.00 μB per atom
V   12.0 Å³/atom


Sr7Re4O19: optimized geometry, PBE.

Geometry as POSCAR:
```
Sr7Re4O19
1.0
-0.367 -5.063 5.486
4.226 -5.728 2.280
5.734 5.160 7.144
Sr Re O
7 4 19
Cartesian
3.183 -0.134 4.588 Sr
6.410 -5.496 10.322 Sr
2.548 -3.629 4.402 Sr
7.045 -2.001 10.508 Sr
4.796 -2.815 7.455 Sr
8.805 -4.330 13.511 Sr
0.788 -1.300 1.399 Sr
5.582 -8.762 9.814 Re
4.011 3.132 5.096 Re
3.837 -6.086 6.760 Re
5.756 0.455 8.150 Re
2.867 2.580 3.572 O
4.897 -5.519 8.160 O
4.696 -0.111 6.750 O
5.071 3.917 6.452 O
4.522 -9.547 8.458 O
6.875 0.487 9.747 O
2.718 -6.118 5.163 O
2.665 -4.517 7.281 O
4.589 -0.774 9.261 O
6.928 -1.113 7.628 O
5.004 -4.856 5.649 O
2.423 -1.952 6.402 O
4.832 -3.339 10.141 O
7.170 -3.678 8.508 O
4.761 -2.291 4.769 O
2.692 -7.210 7.725 O
4.704 1.898 8.718 O
6.901 1.580 7.185 O
4.889 -7.528 6.191 O
```

Properties
Space-group type   No. 12
Crystal system   monoclinic
Density of states at the Fermi level   8.32 states/eV/f.u.
Total moment   0.09 μB per atom
V   13.5 Å³/atom


SrRe3O12: optimized geometry, PBE.

Geometry as POSCAR:
```
SrRe3O12
1.0
-3.772 1.363 8.061
-8.838 -1.310 1.114
-2.508 -9.390 5.443
Sr Re O
2 6 24
Cartesian
-2.830 -7.604 4.990 Sr
-7.881 -2.883 6.856 Sr
-5.551 0.465 5.889 Re
-6.182 -5.098 4.738 Re
-6.026 -3.818 9.679 Re
-9.927 -0.849 3.815 Re
-9.729 0.416 8.666 Re
-10.457 -5.162 7.528 Re
-1.409 -0.246 1.116 O
-4.867 -6.150 5.262 O
-13.327 -4.465 11.280 O
-8.831 -7.417 11.784 O
-5.787 -3.418 5.045 O
-5.093 -8.714 9.013 O
-6.342 -0.898 6.678 O
-10.245 -3.956 11.095 O
-5.912 -4.461 8.039 O
-6.546 -5.039 10.840 O
-7.206 -2.526 9.571 O
-7.668 -5.384 5.646 O
-7.019 -9.641 6.727 O
-3.871 0.649 6.397 O
-11.736 -8.668 8.913 O
-8.814 -1.827 4.770 O
-9.351 -1.129 7.907 O
-8.140 -9.115 9.600 O
-8.963 -4.911 8.432 O
-12.920 -7.861 12.937 O
-10.427 -3.944 6.267 O
-7.195 -1.101 1.853 O
-10.552 -6.777 6.828 O
-11.833 -4.884 8.563 O
```

Properties
Space-group type   No. 161
Crystal system   trigonal
Density of states at the Fermi level   15.84 states/eV/f.u.
Total moment   0.08 μB per atom
V   21.6 Å³/atom


Sr3ReO6: optimized geometry, PBE.

Geometry as POSCAR:
```
Sr3ReO6
1.0
-5.408 -0.072 -4.278
0.492 -6.877 -0.132
-4.091 -0.166 5.549
Sr Re O
6 2 12
Cartesian
-4.946 -6.574 2.145 Sr
-6.465 -5.262 -1.672 Sr
-1.375 -3.908 -0.796 Sr
-7.632 -3.207 1.935 Sr
-2.542 -1.853 2.811 Sr
-4.061 -0.541 -1.006 Sr
0.000 0.000 0.000 Re
-4.503 -3.557 0.569 Re
-1.267 -6.519 -0.909 O
-2.833 -6.544 3.687 O
-4.571 -5.419 -0.042 O
-4.919 -5.098 -3.776 O
-5.320 -4.101 2.267 O
-2.715 -3.852 1.318 O
-6.292 -3.263 -0.179 O
-3.687 -3.014 -1.128 O
-4.087 -2.017 4.915 O
-4.436 -1.696 1.181 O
-6.174 -0.570 -2.548 O
-7.740 -0.595 2.048 O
```

Properties
Space-group type   No. 148
Crystal system   trigonal
Density of states at the Fermi level   5.53 states/eV/f.u.
Total moment   0.10 μB per atom
V   16.4 Å³/atom


Sr4Re6O19: optimized geometry, PBE.

Geometry as POSCAR:
```
Sr4Re6O19
1.0
-4.692 5.665 3.379
0.402 -6.438 4.889
7.436 2.986 -1.146
Sr Re O
4 6 19
Cartesian
5.257 2.111 -0.810 Sr
0.284 -4.552 3.457 Sr
0.922 0.648 2.087 Sr
-3.317 4.005 2.389 Sr
4.915 1.414 2.682 Re
-1.769 0.799 4.440 Re
3.331 -1.832 3.005 Re
-0.185 4.045 4.117 Re
0.700 -1.640 5.493 Re
2.446 3.853 1.629 Re
1.829 5.767 1.488 O
0.915 2.884 0.744 O
-1.430 -0.258 2.757 O
-2.859 -0.516 5.512 O
5.225 -2.301 2.495 O
2.613 -1.151 1.248 O
0.000 0.000 0.000 O
3.279 2.095 1.900 O
4.056 4.534 2.525 O
-0.136 0.117 5.227 O
-1.948 2.039 5.952 O
-0.907 -2.321 4.592 O
-0.734 2.255 3.624 O
5.090 0.176 1.167 O
3.885 -0.044 3.501 O
-0.622 4.649 2.301 O
3.767 -2.442 4.820 O
1.559 -1.463 3.766 O
1.589 3.681 3.357 O
```

Properties
Space-group type   No. 197
Crystal system   cubic
Density of states at the Fermi level   9.29 states/eV/f.u.
Total moment   0.00 μB per atom
V   14.1 Å³/atom


Sr2ReO6: optimized geometry, PBE.

Geometry as POSCAR:
```
Sr2ReO6
1.0
-3.067 -2.866 -4.052
4.103 -4.923 0.376
-5.020 -3.802 4.995
Sr Re O
4 2 12
Cartesian
-2.253 -5.045 3.768 Sr
-1.372 -8.616 2.198 Sr
-2.612 -2.975 -0.878 Sr
-1.730 -6.547 -2.449 Sr
0.518 -3.895 -1.838 Re
-2.510 -1.901 2.498 Re
1.954 -6.095 1.174 O
-1.029 -8.027 -0.385 O
0.736 -5.790 -1.822 O
-3.757 -5.315 -1.383 O
-1.134 -4.109 -2.742 O
-0.390 -3.967 -0.188 O
-5.938 -5.496 0.145 O
-2.954 -3.564 1.704 O
-4.719 -5.801 3.142 O
-0.226 -6.276 2.703 O
-2.849 -7.482 4.062 O
-3.594 -7.624 1.508 O
```

Properties
Energy above the most stable polymorph in this dataset   0.000 eV per atom
Space-group type   No. 14
Crystal system   monoclinic
Density of states at the Fermi level   3.24 states/eV/f.u.
Total moment   0.12 μB per atom
V   16.6 Å³/atom


SrRe2O6: optimized geometry, PBE.

Geometry as POSCAR:
```
SrRe2O6
1.0
5.389 0.000 0.000
-2.695 4.667 0.000
0.000 0.000 5.205
Sr Re O
1 2 6
Cartesian
0.000 0.000 0.000 Sr
0.000 3.111 2.602 Re
2.695 1.556 2.602 Re
3.338 0.000 1.564 O
1.025 1.776 1.564 O
-1.669 2.891 1.564 O
1.669 2.891 3.641 O
-1.025 1.776 3.641 O
2.051 0.000 3.641 O
```

Properties
Space-group type   No. 162
Crystal system   trigonal
Density of states at the Fermi level   3.92 states/eV/f.u.
Total moment   0.21 μB per atom
V   14.5 Å³/atom


Here are the calculated raw formation energy numbers, same order: -0.31; -2.02; -0.06; -2.23; 0.75; -1.88; -2.31; -1.68; -2.44; -2.01; -2.10; -1.80 (eV/atom).
Here are the calculated final energy numbers, same order: -4.8005; -7.7480; -5.2547; -7.3105; -5.0536; -8.0082; -7.5051; -7.8371; -7.1612; -8.0684; -7.1655; -8.0539 (eV per atom).